Entry 1:
The following is a DFT calculation (PBE-GGA) of a relaxed HoTmCSe crystal.

The space group is P-6m2 (No. 187) and the conventional cell measures 3.7198, 3.7198 and 13.1289 Å, with angles of 90.00, 90.00 and 120.00 degrees. The distinct sites, in fractional coordinates, are Ho at (0.0000, 0.0000, 0.1515), Tm at (0.6667, 0.3333, 0.3509), C at (0.3333, 0.6667, 0.2524), Se at (0.0000, 0.0000, 0.5000) and Se at (0.6667, 0.3333, 0.0000).

The value obtained for the total magnetization is 0.00 Bohr magnetons per cell. The volume is 19.67 A^3/atom. The final energy is -6.616 eV/atom.

---

Entry 2:
The following is a DFT calculation (PBE-GGA) of a relaxed HoTmCSe crystal.

The space group is P-3m1 (No. 164) and the conventional cell measures 3.7206, 3.7206 and 13.1342 Å, with angles of 90.00, 90.00 and 120.00 degrees. The distinct sites, in fractional coordinates, are Ho at (0.3333, 0.6667, 0.1009), Tm at (0.3333, 0.6667, 0.4015), C at (0.0000, 0.0000, 0.0000), C at (0.0000, 0.0000, 0.5000) and Se at (0.3333, 0.6667, 0.7476).

The value obtained for the total magnetization is 0.01 Bohr magnetons per cell. The volume is 19.68 A^3/atom. The final energy is -6.616 eV/atom.

---

Entry 3:
The following is a DFT calculation (PBE-GGA) of a relaxed HoTm3C2Se2 crystal.

The space group is P3m1 (No. 156) and the conventional cell measures 3.7099, 3.7099 and 13.0900 Å, with angles of 90.00, 90.00 and 120.00 degrees. The distinct sites, in fractional coordinates, are Ho at (0.0000, 0.0000, 0.0000), Tm at (0.0000, 0.0000, 0.6983), Tm at (0.6667, 0.3333, 0.2002), Tm at (0.6667, 0.3333, 0.5003), C at (0.3333, 0.6667, 0.1010), C at (0.3333, 0.6667, 0.5992), Se at (0.0000, 0.0000, 0.3499) and Se at (0.6667, 0.3333, 0.8473).

The value obtained for the total magnetization is 0.01 Bohr magnetons per cell. The volume is 19.50 A^3/atom. The final energy is -6.610 eV/atom.